A plane-wave DFT calculation with PBE-GGA was carried out for a relaxed BeHgPS2 crystal.

Cell: 4.586 4.586 5.000 Å, 90.00 90.00 90.00°
Fractional coordinates of all 5 atoms:
Be 0.000 0.000 0.000
Hg 0.500 0.500 0.000
P 0.500 0.500 0.500
S 0.000 0.500 0.500
S 0.500 0.000 0.500

Results
Uncorrected formation energy, meV per atom: 840.8
SG: P4/mmm (123)
Total DFT energy (no corrections), eV/atom: -2.698


A plane-wave DFT calculation with PBE-GGA was carried out for a relaxed BeHgPS2 crystal.

Cell: 4.659 4.659 4.092 Å, 90.00 90.00 90.00°
Fractional coordinates of all 5 atoms:
Be 0.000 0.000 0.000
Hg 0.500 0.500 0.500
P 0.000 0.000 0.500
S 0.000 0.500 0.000
S 0.500 0.000 0.000

Results
Uncorrected formation energy, meV per atom: 536.0
SG: P4/mmm (123)
Total DFT energy (no corrections), eV/atom: -3.003


A plane-wave DFT calculation with PBE-GGA was carried out for a relaxed Be2HgSbP crystal.

Cell: 4.490 4.490 5.736 Å, 90.00 90.00 90.00°
Fractional coordinates of all 5 atoms:
Be 0.000 0.500 0.000
Be 0.500 0.000 0.000
Hg 0.000 0.000 0.500
Sb 0.000 0.000 0.000
P 0.500 0.500 0.500

Results
Uncorrected formation energy, meV per atom: 1198.1
SG: P4/mmm (123)
Total DFT energy (no corrections), eV/atom: -2.259


A plane-wave DFT calculation with PBE-GGA was carried out for a relaxed BeSiHgP2 crystal.

Cell: 5.047 5.047 4.315 Å, 90.00 90.00 90.00°
Fractional coordinates of all 5 atoms:
Be 0.000 0.000 0.000
Si 0.500 0.500 0.000
Hg 0.000 0.000 0.500
P 0.000 0.500 0.500
P 0.500 0.000 0.500

Results
Uncorrected formation energy, meV per atom: 1414.7
SG: P4/mmm (123)
Total DFT energy (no corrections), eV/atom: -2.639


A plane-wave DFT calculation with PBE-GGA was carried out for a relaxed BeSiHgP2 crystal.

Cell: 4.729 4.729 4.191 Å, 90.00 90.00 90.00°
Fractional coordinates of all 5 atoms:
Be 0.000 0.000 0.000
Si 0.000 0.000 0.500
Hg 0.500 0.500 0.000
P 0.000 0.500 0.500
P 0.500 0.000 0.500

Results
Uncorrected formation energy, meV per atom: 757.0
SG: P4/mmm (123)
Total DFT energy (no corrections), eV/atom: -3.297


A plane-wave DFT calculation with PBE-GGA was carried out for a relaxed BeZnHg2P crystal.

Cell: 5.210 5.210 3.964 Å, 90.00 90.00 90.00°
Fractional coordinates of all 5 atoms:
Be 0.000 0.000 0.000
Zn 0.500 0.500 0.500
Hg 0.000 0.500 0.000
Hg 0.500 0.000 0.000
P 0.000 0.000 0.500

Results
SG: P4/mmm (123)
ΔH_f (0 K), meV/atom: 370
Total DFT energy (no corrections), eV/atom: -1.832


A plane-wave DFT calculation with PBE-GGA was carried out for a relaxed PaBeHg crystal.

Cell: 8.139 8.139 3.629 Å, 90.00 90.00 150.11°
Fractional coordinates of all 6 atoms:
Pa 0.085 0.915 0.750
Pa 0.915 0.085 0.250
Be 0.465 0.535 0.750
Be 0.535 0.465 0.250
Hg 0.298 0.702 0.750
Hg 0.702 0.298 0.250

Results
SG: Cmcm (63)
ΔH_f (0 K), meV/atom: 78
Total DFT energy (no corrections), eV/atom: -4.430


A plane-wave DFT calculation with PBE-GGA was carried out for a relaxed Pa2BeHg crystal.

Cell: 10.296 10.296 10.296 Å, 17.42 17.42 17.42°
Fractional coordinates of all 4 atoms:
Pa 0.239 0.239 0.239
Pa 0.761 0.761 0.761
Be 0.500 0.500 0.500
Hg 0.000 0.000 0.000

Results
SG: R-3m (166)
ΔH_f (0 K), meV/atom: 208
Total DFT energy (no corrections), eV/atom: -5.547


A plane-wave DFT calculation with PBE-GGA was carried out for a relaxed BeHgPb crystal.

Cell: 3.248 3.248 6.495 Å, 95.92 95.92 87.30°
Fractional coordinates of all 3 atoms:
Be 0.000 0.000 0.000
Hg 0.478 0.478 0.812
Pb 0.441 0.441 0.321

Results
SG: Cm (8)
ΔH_f (0 K), meV/atom: 422
Total DFT energy (no corrections), eV/atom: -2.156


A plane-wave DFT calculation with PBE-GGA was carried out for a relaxed BeHgPb crystal.

Cell: 4.715 4.030 7.021 Å, 90.00 97.71 90.00°
Fractional coordinates of all 6 atoms:
Be 0.122 0.250 0.033
Be 0.878 0.750 0.967
Hg 0.347 0.750 0.841
Hg 0.653 0.250 0.159
Pb 0.208 0.750 0.335
Pb 0.792 0.250 0.665

Results
SG: P2_1/m (11)
ΔH_f (0 K), meV/atom: 249
Total DFT energy (no corrections), eV/atom: -2.330


A plane-wave DFT calculation with PBE-GGA was carried out for a relaxed BeHgPb crystal.

Cell: 4.305 4.305 4.166 Å, 90.00 90.00 120.00°
Fractional coordinates of all 3 atoms:
Be 0.000 0.000 0.000
Hg 0.667 0.333 0.004
Pb 0.333 0.667 0.504

Results
SG: P3m1 (156)
ΔH_f (0 K), meV/atom: 398
Total DFT energy (no corrections), eV/atom: -2.181


A plane-wave DFT calculation with PBE-GGA was carried out for a relaxed BeHg2Pb2 crystal.

Cell: 8.310 8.310 8.310 Å, 149.15 149.15 44.19°
Fractional coordinates of all 5 atoms:
Be 0.000 0.000 0.000
Hg 0.409 0.409 0.000
Hg 0.591 0.591 0.000
Pb 0.250 0.750 0.500
Pb 0.750 0.250 0.500

Results
SG: I4/mmm (139)
ΔH_f (0 K), meV/atom: 690
Total DFT energy (no corrections), eV/atom: -1.659